Version A
Computed, not measured: crystalline Y2HfNb at its relaxed geometry at the PBE level of DFT.

Results
total moment = 2.52 Bohr magnetons per cell
crystal system = cubic

a = 7.386 Å, b = 7.386 Å, c = 7.386 Å
α = 90.00°, β = 90.00°, γ = 90.00°
Space group Fm-3m (No. 225)
Symmetry-distinct sites (fractional):
Y (0.250, 0.250, 0.250)
Hf (0.000, 0.000, 0.000)
Nb (0.000, 0.000, 0.500)



Version B
Computed, not measured: crystalline Y2HfNb at its relaxed geometry at the PBE level of DFT.

Results
total moment = 1.15 Bohr magnetons per cell
crystal system = tetragonal

a = 8.209 Å, b = 8.209 Å, c = 6.154 Å
α = 90.00°, β = 90.00°, γ = 90.00°
Space group I-42d (No. 122)
Symmetry-distinct sites (fractional):
Y (0.232, 0.250, 0.125)
Hf (0.000, 0.000, 0.500)
Nb (0.000, 0.000, 0.000)



Most stable to least stable, the ends of the list are version A and version B.



Version A
Computed, not measured: crystalline YHf2Nb2 at its relaxed geometry at the PBE level of DFT.

Results
total moment = 0.00 Bohr magnetons per cell
crystal system = tetragonal

a = 8.064 Å, b = 8.064 Å, c = 3.481 Å
α = 90.00°, β = 90.00°, γ = 90.00°
Space group P4/mbm (No. 127)
Symmetry-distinct sites (fractional):
Y (0.000, 0.000, 0.000)
Hf (0.143, 0.357, 0.500)
Nb (0.144, 0.644, 0.000)



Version B
Computed, not measured: crystalline YHf2Nb2 at its relaxed geometry at the PBE level of DFT.

Results
total moment = 0.00 Bohr magnetons per cell
crystal system = tetragonal

a = 8.012 Å, b = 8.012 Å, c = 3.532 Å
α = 90.00°, β = 90.00°, γ = 90.00°
Space group P4/mbm (No. 127)
Symmetry-distinct sites (fractional):
Y (0.000, 0.000, 0.000)
Hf (0.133, 0.367, 0.000)
Nb (0.156, 0.656, 0.500)



Most stable to least stable, the ends of the list are version A and version B.